Crystalline Ce3SmTh12 at its relaxed geometry. Source: Alexandria via LeMat-Bulk, functional PBE-GGA.

```
Ce3SmTh12
1.0
-3.824 -2.767 -1.623
2.871 -1.825 -3.653
5.752 -14.994 12.011
Ce Sm Th
3 1 12
Cartesian
1.449 -3.778 3.026
2.876 -7.497 6.006
4.303 -11.217 8.985
0.000 0.000 0.000
-0.477 -2.296 -2.638
0.983 -6.101 0.410
2.399 -9.793 3.367
3.816 -13.486 6.325
-1.172 -3.312 0.733
0.253 -7.027 3.709
1.675 -10.735 6.679
3.100 -14.450 9.655
2.175 -2.841 -0.282
3.600 -6.556 2.694
5.023 -10.264 5.664
6.448 -13.979 8.640
```

For the theoretical density, the calculation gives 11.148 g cm⁻³. The value obtained for the energy of formation from the pure elements is 0.026 eV/atom. The value obtained for the total magnetization is 0.0 μB/cell. For the calculated total energy, the calculation gives -111.14 eV for the cell shown. As for the symmetry: P4/mmm (123).

Crystalline AcCd3Sn at its relaxed geometry. Source: Alexandria via LeMat-Bulk, functional PBE-GGA.

```
AcCd3Sn
1.0
4.445 0.000 1.539
-0.529 4.413 1.543
0.053 0.054 7.064
Ac Cd Sn
1 3 1
Cartesian
1.736 0.966 7.276
2.428 4.250 5.279
0.465 2.046 3.738
3.182 2.602 3.076
-0.353 3.621 6.126
```

For the theoretical density, the calculation gives 8.231 g cm⁻³. The value obtained for the energy of formation from the pure elements is -0.361 eV/atom. The value obtained for the total magnetization is 0.0 μB/cell. For the calculated total energy, the calculation gives -12.66 eV for the cell shown. As for the symmetry: I4mm (107).

Crystalline TiTeS at its relaxed geometry. Source: Alexandria via LeMat-Bulk, functional PBE-GGA.

```
TiTeS
1.0
-3.037 1.626 -1.007
-0.108 -2.691 2.372
3.446 9.098 10.314
Ti Te S
2 2 2
Cartesian
-0.006 6.102 9.464
0.308 1.931 2.215
-0.580 1.924 4.883
0.882 6.109 6.797
2.180 6.716 10.259
-1.878 1.317 1.420
```

For the theoretical density, the calculation gives 4.402 g cm⁻³. The value obtained for the total magnetization is 0.0 μB/cell. The value obtained for the offset from the most stable computed form is 1 meV/atom. For the energy relative to the elements, uncorrected, the calculation gives -1.016 eV/atom. For the calculated total energy, the calculation gives -36.42 eV for the cell shown. As for the symmetry: C2/m (12).

Crystalline ThZr2Ag at its relaxed geometry. Source: Alexandria via LeMat-Bulk, functional PBE-GGA.

```
ThZr2Ag
1.0
4.584 0.000 0.000
0.000 4.575 0.000
0.000 0.000 4.575
Zr Ag Th
2 1 1
Cartesian
0.000 0.000 2.288
0.000 2.288 0.000
2.292 0.000 0.000
2.292 2.288 2.288
```

For the theoretical density, the calculation gives 9.040 g cm⁻³. The value obtained for the energy of formation from the pure elements is 0.092 eV/atom. The value obtained for the total magnetization is 0.0 μB/cell. The value obtained for the offset from the most stable computed form is 67 meV/atom. For the calculated total energy, the calculation gives -27.00 eV for the cell shown. As for the symmetry: P4/mmm (123).

Crystalline Tb2MnGe3Ir4 at its relaxed geometry. Source: Alexandria via LeMat-Bulk, functional PBE-GGA.

```
Tb2MnGe3Ir4
1.0
4.128 0.000 0.000
0.000 4.128 0.000
0.000 0.000 10.576
Tb Mn Ge Ir
2 1 3 4
Cartesian
2.064 0.000 2.604
0.000 2.064 7.972
2.064 2.064 5.288
0.000 0.000 5.288
2.064 0.000 9.190
0.000 2.064 1.386
2.064 2.064 0.000
0.000 0.000 0.000
2.064 0.000 6.756
0.000 2.064 3.820
```

For the theoretical density, the calculation gives 12.527 g cm⁻³. The value obtained for the energy of formation from the pure elements is -0.698 eV/atom. The value obtained for the total magnetization is 3.4 μB/cell. For the calculated total energy, the calculation gives -74.71 eV for the cell shown. As for the symmetry: P-4m2 (115).

Crystalline HfBiS2O at its relaxed geometry. Source: Alexandria via LeMat-Bulk, functional PBE-GGA.

```
HfBiS2O
1.0
-0.287 4.938 -1.315
-3.743 -0.514 -1.112
-1.566 1.168 4.731
S Hf Bi O
2 1 1 1
Cartesian
-0.783 0.584 2.366
-0.144 2.469 -0.657
0.000 0.000 0.000
-2.798 2.797 1.152
-1.872 -0.257 -0.556
```

For the theoretical density, the calculation gives 7.524 g cm⁻³. The value obtained for the total magnetization is 0.0 μB/cell. For the energy relative to the elements, uncorrected, the calculation gives -1.310 eV/atom. For the calculated total energy, the calculation gives -33.60 eV for the cell shown. As for the symmetry: P4/mmm (123).

Crystalline K2Te2Pb2Se at its relaxed geometry. Source: Alexandria via LeMat-Bulk, functional PBE-GGA.

```
K2Te2Pb2Se
1.0
-3.237 -2.889 2.011
-0.763 -6.657 -5.111
5.894 -6.060 0.785
K Te Pb Se
2 2 2 1
Cartesian
2.057 -12.391 -3.120
-0.163 -3.214 0.805
-0.622 -6.911 0.443
2.516 -8.695 -2.758
1.333 -9.279 0.186
0.561 -6.327 -2.501
0.000 0.000 0.000
```

For the theoretical density, the calculation gives 4.723 g cm⁻³. The value obtained for the total magnetization is 0.0 μB/cell. For the energy relative to the elements, uncorrected, the calculation gives -0.680 eV/atom. For the calculated total energy, the calculation gives -24.14 eV for the cell shown. As for the symmetry: C2/m (12).

Crystalline NaInSb at its relaxed geometry. Source: Alexandria via LeMat-Bulk, functional PBE-GGA.

```
NaInSb
1.0
4.596 -0.001 -0.002
2.290 5.389 0.000
0.027 1.400 7.913
Na In Sb
2 2 2
Cartesian
2.295 4.492 2.661
4.618 2.297 5.250
4.619 5.424 7.478
2.294 1.364 0.432
4.594 2.244 2.023
2.319 4.544 5.888
```

For the theoretical density, the calculation gives 4.398 g cm⁻³. The value obtained for the total magnetization is 0.0 μB/cell. For the energy relative to the elements, uncorrected, the calculation gives -0.273 eV/atom. For the calculated total energy, the calculation gives -18.00 eV for the cell shown. As for the symmetry: P-1 (2).